# Pr3Nd3Tm2 | Alexandria | GGA-PBE | relaxed
data_Pr3Nd3Tm2
_cell_length_a 7.350
_cell_length_b 14.595
_cell_length_c 6.299
_cell_angle_alpha 90.00
_cell_angle_beta 125.68
_cell_angle_gamma 90.00
_symmetry_space_group_name_H-M 'C 1 2/m 1'
_symmetry_Int_Tables_number 12
_symmetry_space_group_name_Hall '-C 2y'
loop_
_atom_site_label
_atom_site_type_symbol
_atom_site_fract_x
_atom_site_fract_y
_atom_site_fract_z
Pr1 Pr 0.000 0.000 0.000
Pr2 Pr 0.000 0.373 0.500
Nd1 Nd 0.000 0.127 0.500
Nd2 Nd 0.000 0.500 0.000
Tm1 Tm 0.000 0.250 0.000
# final energy: -4.68 eV per atom
# energy of formation: 0.0187 eV/atom
# N(E_F): 25.13 states/eV/cell